Entry 1:
A plane-wave DFT calculation with PBE was carried out for a geometry-optimized Sr3Zr structure.

Geometry as extended XYZ:
```
4
Lattice="6.741 -0.004 0.035 5.653 3.672 0.035 1.172 0.347 6.766" Properties=species:S:1:pos:R:3 pbc="T T T"
Sr 6.783 2.008 3.418
Sr 3.529 1.045 1.576
Zr 0.000 0.000 0.000
Sr 10.036 2.971 5.259
```

Properties
energy	-2.930	eV per atom
distance to the lowest polymorph of the same formula	164	meV/atom
E_form	469	meV/atom


Entry 2:
A plane-wave DFT calculation with PBE was carried out for a geometry-optimized Sr2Zr structure.

Geometry as extended XYZ:
```
3
Lattice="-0.925 -2.323 -5.545 2.061 -5.393 1.915 -3.333 -0.937 0.949" Properties=species:S:1:pos:R:3 pbc="T T T"
Sr -0.636 -3.165 1.432
Zr 0.000 0.000 0.000
Sr -2.129 -1.630 -2.298
```

Properties
energy	-3.227	eV per atom
distance to the lowest polymorph of the same formula	392	meV/atom
E_form	744	meV/atom